VASP calculation (GGA-PBE) on a geometry-optimized NaSiRu2Cl structure.

Output
Formation energy from raw total energies in eV per atom: 0.9481
Volume in Å³ per cell: 90.56
Space group: P4/mmm (123)
Total DFT energy (no corrections) in eV for the cell shown: -22.400

Lattice parameters (Å, degrees): 4.4207 4.4207 4.6341 90.00 90.00 90.00
Closest atoms and distances in Å follow each position.
Element x y z (fractional)
1 Na 0.0000 0.0000 0.0000  2 Cl 2.32
2 Si 0.5000 0.5000 0.0000  4 Na 3.13, 8 Ru 3.20
3 Ru 0.0000 0.5000 0.5000  2 Cl 2.21
4 Ru 0.5000 0.0000 0.5000  2 Cl 2.21
5 Cl 0.0000 0.0000 0.5000  4 Ru 2.21, 2 Na 2.32

VASP calculation (GGA-PBE) on a geometry-optimized Na2SrRuCl structure.

Output
Formation energy from raw total energies in eV per atom: 0.0722
Volume in Å³ per cell: 147.61
Space group: P4/mmm (123)
Total DFT energy (no corrections) in eV for the cell shown: -15.081

Lattice parameters (Å, degrees): 5.0219 5.0219 5.8533 90.00 90.00 90.00
Closest atoms and distances in Å follow each position.
Element x y z (fractional)
1 Na 0.0000 0.5000 0.0000  2 Cl 2.51
2 Na 0.5000 0.0000 0.0000  2 Cl 2.51
3 Sr 0.0000 0.0000 0.5000  2 Cl 2.93
4 Ru 0.5000 0.5000 0.5000  4 Sr 3.55, 8 Na 3.86
5 Cl 0.0000 0.0000 0.0000  4 Na 2.51

VASP calculation (GGA-PBE) on a geometry-optimized NaTc2RuCl structure.

Output
Formation energy from raw total energies in eV per atom: 1.1808
Volume in Å³ per cell: 130.52
Space group: P4/mmm (123)
Total DFT energy (no corrections) in eV for the cell shown: -27.269

Lattice parameters (Å, degrees): 4.6398 4.6398 6.0629 90.00 90.00 90.00
Closest atoms and distances in Å follow each position.
Element x y z (fractional)
1 Na 0.0000 0.0000 0.0000  2 Ru 3.03, 4 Cl 3.28
2 Tc 0.0000 0.5000 0.5000  2 Ru 2.32
3 Tc 0.5000 0.0000 0.5000  2 Ru 2.32
4 Ru 0.0000 0.0000 0.5000  4 Tc 2.32
5 Cl 0.5000 0.5000 0.0000  4 Na 3.28

VASP calculation (GGA-PBE) on a geometry-optimized NaTe2RuCl structure.

Output
Formation energy from raw total energies in eV per atom: -0.0822
Volume in Å³ per cell: 156.22
Space group: P4/mmm (123)
Total DFT energy (no corrections) in eV for the cell shown: -19.136

Lattice parameters (Å, degrees): 4.9693 4.9693 6.3262 90.00 90.00 90.00
Closest atoms and distances in Å follow each position.
Element x y z (fractional)
1 Na 0.0000 0.0000 0.0000  2 Ru 3.16, 4 Cl 3.51
2 Te 0.0000 0.5000 0.5000  2 Ru 2.48
3 Te 0.5000 0.0000 0.5000  2 Ru 2.48
4 Ru 0.0000 0.0000 0.5000  4 Te 2.48
5 Cl 0.5000 0.5000 0.0000  4 Na 3.51

VASP calculation (GGA-PBE) on a geometry-optimized NaTlRuCl6 structure.

Output
Formation energy from raw total energies in eV per atom: -0.9038
Volume in Å³ per cell: 270.38
Space group: C2 (5)
Total DFT energy (no corrections) in eV for the cell shown: -32.175

Lattice parameters (Å, degrees): 6.8882 6.8882 6.5838 90.02 90.02 120.06
Closest atoms and distances in Å follow each position.
Element x y z (fractional)
1 Na 0.0000 0.0000 0.0000  6 Cl 2.81
2 Tl 0.3335 0.6665 0.5000  6 Cl 3.20
3 Ru 0.6669 0.3332 0.0000  6 Cl 2.35-2.36
4 Cl 0.3825 0.0602 0.7925  1 Ru 2.35
5 Cl 0.3831 0.3219 0.2079  1 Ru 2.36
6 Cl 0.6784 0.0609 0.2079  1 Ru 2.36
7 Cl 0.6781 0.6169 0.7921  1 Ru 2.36
8 Cl 0.9391 0.3216 0.7921  1 Ru 2.36
9 Cl 0.9398 0.6175 0.2075  1 Ru 2.35

VASP calculation (GGA-PBE) on a geometry-optimized NaZnRuCl6 structure.

Output
Formation energy from raw total energies in eV per atom: -0.9711
Volume in Å³ per cell: 427.52
Space group: P-31c (163)
Total DFT energy (no corrections) in eV for the cell shown: -63.377

Lattice parameters (Å, degrees): 6.3234 6.3234 12.3458 90.00 90.00 120.00
Closest atoms and distances in Å follow each position.
Element x y z (fractional)
1 Na 0.0000 0.0000 0.0000  6 Cl 2.88
2 Na 0.0000 0.0000 0.5000  6 Cl 2.88
3 Zn 0.3333 0.6667 0.2500  6 Cl 2.49
4 Zn 0.6667 0.3333 0.7500  6 Cl 2.49
5 Ru 0.3333 0.6667 0.7500  6 Cl 2.38
6 Ru 0.6667 0.3333 0.2500  6 Cl 2.38
7 Cl 0.0136 0.3695 0.6407  1 Ru 2.38, 1 Zn 2.49
8 Cl 0.0136 0.6441 0.8593  1 Ru 2.38, 1 Zn 2.49
9 Cl 0.3559 0.3695 0.8593  1 Ru 2.38, 1 Zn 2.49
10 Cl 0.3559 0.9864 0.6407  1 Ru 2.38, 1 Zn 2.49
11 Cl 0.3695 0.0136 0.1407  1 Ru 2.38, 1 Zn 2.49
12 Cl 0.3695 0.3559 0.3593  1 Ru 2.38, 1 Zn 2.49
13 Cl 0.6305 0.6441 0.6407  1 Ru 2.38, 1 Zn 2.49
14 Cl 0.6305 0.9864 0.8593  1 Ru 2.38, 1 Zn 2.49
15 Cl 0.6441 0.0136 0.3593  1 Ru 2.38, 1 Zn 2.49
16 Cl 0.6441 0.6305 0.1407  1 Ru 2.38, 1 Zn 2.49
17 Cl 0.9864 0.3559 0.1407  1 Ru 2.38, 1 Zn 2.49
18 Cl 0.9864 0.6305 0.3593  1 Ru 2.38, 1 Zn 2.49

no.,total magnetic moment (Bohr magnetons per cell),ρ (g cm⁻³)
1,0.000,5.29
2,1.284,3.04
3,4.188,4.52
4,0.000,4.41
5,2.000,3.32
6,2.023,3.12